Computed, not measured: crystalline Ti2BeW at its relaxed geometry at the PBE level of DFT.

a b c (Å): 6.9462 6.9462 5.5128
angles (deg): 50.95 50.95 90.00
Fractional positions:
1 Ti 0.3750 0.3986 0.7500
2 W 0.0000 0.0000 0.0000
3 Ti 0.6014 0.1250 0.2500
4 Ti 0.8750 0.8514 0.7500
5 Be 0.5000 0.5000 0.0000
6 Ti 0.1486 0.6250 0.2500
7 W 0.7500 0.2500 0.5000
8 Be 0.2500 0.7500 0.5000

Calculated values
density: 7.9 g/cm3
SG: No. 122
energy of formation: 0.45 eV per atom